## Dy4GeSb2As (PBE)

Data for crystalline Dy4GeSb2As at its relaxed geometry.

Results
Energy ... -0.4112 Ry per atom
Raw formation energy ... -1.10 eV/atom
Spin magnetization ... 0.0 μB/cell

Unit cell a=7.3617 b=4.2214 c=7.4348 alpha=90.00 beta=109.05 gamma=90.00
Last column: nearest neighbours and their distance in Å.
Space group P2/m (No. 10)
Inequivalent atoms, fractional coordinates:
Dy 0.2435 0.0000 0.2304 (multiplicity 2)  2 As 2.93, 1 Ge 2.93, 3 Sb 3.09
Dy 0.2554 0.5000 0.7680 (multiplicity 2)  1 As 2.94, 2 Ge 2.94, 3 Sb 3.08-3.09
Ge 0.5000 0.0000 0.0000 (multiplicity 1)  6 Dy 2.93-2.94
Sb 0.0000 0.0000 0.5000 (multiplicity 1)  6 Dy 3.08-3.09
Sb 0.5000 0.5000 0.5000 (multiplicity 1)  6 Dy 3.09
As 0.0000 0.5000 0.0000 (multiplicity 1)  6 Dy 2.93-2.94